This record from Alexandria describes HoThSi2Pt4 after structural relaxation. The functional is PBE-GGA.

a b c (Å): 4.0819 4.0819 9.4017
angles (deg): 90.00 90.00 90.00
With the nearest neighbours (Å) after each atom.
Fractional positions:
Si: 0.5000 0.5000 0.3767  1 Si 2.32, 4 Pt 2.43
Si: 0.5000 0.5000 0.6233  1 Si 2.32, 4 Pt 2.43
Th: 0.0000 0.0000 0.0000  8 Pt 3.01
Pt: 0.5000 0.0000 0.7640  2 Si 2.43
Pt: 0.5000 0.0000 0.2360  2 Si 2.43
Pt: 0.0000 0.5000 0.2360  2 Si 2.43
Pt: 0.0000 0.5000 0.7640  2 Si 2.43
Ho: 0.0000 0.0000 0.5000  8 Si 3.11, 8 Pt 3.21

Values from the calculation:
- crystal system = tetragonal
- SG = P4/mmm (123)



This record from Alexandria describes Ho2TiSi4Pt3 after structural relaxation. The functional is PBE-GGA.

a b c (Å): 4.0990 4.0990 10.4448
angles (deg): 90.00 90.00 90.00
With the nearest neighbours (Å) after each atom.
Fractional positions:
Si: 0.5000 0.0000 0.6441  3 Pt 2.42-2.54, 2 Ti 2.54
Si: 0.5000 0.5000 0.0000  4 Pt 2.43
Si: 0.0000 0.0000 0.0000  4 Pt 2.43
Si: 0.0000 0.5000 0.3559  3 Pt 2.42-2.54, 2 Ti 2.54
Pt: 0.0000 0.5000 0.1244  5 Si 2.42-2.43
Pt: 0.5000 0.0000 0.8756  5 Si 2.42-2.43
Pt: 0.0000 0.0000 0.5000  4 Si 2.54
Ti: 0.5000 0.5000 0.5000  4 Si 2.54
Ho: 0.0000 0.5000 0.7538  8 Si 3.12-3.29, 6 Pt 3.17-3.35, 2 Ti 3.35
Ho: 0.5000 0.0000 0.2462  8 Si 3.12-3.29, 6 Pt 3.17-3.35, 2 Ti 3.35

Values from the calculation:
- crystal system = tetragonal
- SG = P-4m2 (115)



This record from Alexandria describes Ho2TmSi2Pt7 after structural relaxation. The functional is PBE-GGA.

a b c (Å): 4.0173 4.0173 13.7527
angles (deg): 83.66 83.66 89.54
With the nearest neighbours (Å) after each atom.
Fractional positions:
Pt: 0.5609 0.0612 0.8396  2 Si 2.40-2.41
Pt: 0.0612 0.5609 0.8396  2 Si 2.40-2.41
Pt: 0.3627 0.3627 0.4287  1 Si 2.33
Pt: 0.4391 0.9388 0.1604  2 Si 2.40-2.41
Pt: 0.9388 0.4391 0.1604  2 Si 2.40-2.41
Pt: 0.5000 0.5000 0.0000  4 Tm 2.83-2.85, 8 Pt 2.96-2.97
Pt: 0.6373 0.6373 0.5713  1 Si 2.33
Tm: 0.0000 0.0000 0.0000  12 Pt 2.83-2.97
Ho: 0.1204 0.1204 0.6439  7 Pt 2.96-3.30, 4 Si 3.08-3.22
Ho: 0.8796 0.8796 0.3561  7 Pt 2.96-3.30, 4 Si 3.08-3.22
Si: 0.5977 0.5977 0.7422  5 Pt 2.33-2.41
Si: 0.4023 0.4023 0.2578  5 Pt 2.33-2.41

Values from the calculation:
- crystal system = monoclinic
- SG = C2/m (12)



Number 1: total moment 0.00 μB per atom, ΔE_f (raw) -0.985 eV per atom, density of states at the Fermi level 5.54 states/eV/f.u.. Number 2: total moment 0.00 μB per atom, ΔE_f (raw) -1.024 eV per atom, density of states at the Fermi level 3.24 states/eV/f.u.. Number 3: total moment 0.00 μB per atom, ΔE_f (raw) -1.146 eV per atom, density of states at the Fermi level 4.60 states/eV/f.u..